1.
Tb2HoAu6: relaxed, GGA-PBE.

## Properties
Total energy in eV per formula unit: -40.663
M_tot in μB per atom: 0.000
Calculated volume in A^3/atom: 21.6
D(E_F) in states/eV/f.u.: 4.804
Formation enthalpy at 0 K in meV/atom: -796
Space-group type: C2/m (12)
Crystal system: monoclinic

Cell and atoms, written as POSCAR:
```
Tb2HoAu6
1.0
2.632 -8.095 0.000
2.632 8.095 0.000
-2.584 0.000 4.558
Tb Ho Au
2 1 6
Direct
0.165 0.835 0.000
0.835 0.165 0.000
0.500 0.500 0.500
0.157 0.157 0.827
0.172 0.502 0.667
0.498 0.828 0.333
0.502 0.172 0.667
0.828 0.498 0.333
0.843 0.843 0.173
```


2.
LaY5Au4: relaxed, GGA-PBE.

## Properties
Total energy in eV per formula unit: -57.207
M_tot in μB per atom: 0.000
Calculated volume in A^3/atom: 25.7
D(E_F) in states/eV/f.u.: 6.954
Formation enthalpy at 0 K in meV/atom: -685
Space-group type: P4/mmm (123)
Crystal system: tetragonal

Cell and atoms, written as POSCAR:
```
LaY5Au4
1.0
3.584 0.000 0.000
0.000 3.584 0.000
0.000 0.000 20.039
La Y Au
1 5 4
Direct
0.000 0.000 0.000
0.500 0.500 0.137
0.500 0.500 0.317
0.500 0.500 0.500
0.500 0.500 0.683
0.500 0.500 0.863
0.000 0.000 0.224
0.000 0.000 0.409
0.000 0.000 0.591
0.000 0.000 0.776
```


3.
La5Pt5Au2: relaxed, GGA-PBE.

## Properties
Total energy in eV per formula unit: -73.824
M_tot in μB per atom: 0.000
Calculated volume in A^3/atom: 24.9
D(E_F) in states/eV/f.u.: 7.361
Formation enthalpy at 0 K in meV/atom: -1036
Space-group type: C2/m (12)
Crystal system: monoclinic

Cell and atoms, written as POSCAR:
```
La5Pt5Au2
1.0
7.863 -2.083 0.000
7.863 2.083 0.000
-6.821 0.000 9.108
La Pt Au
5 5 2
Direct
0.000 0.000 0.000
0.100 0.100 0.421
0.192 0.192 0.824
0.808 0.808 0.176
0.900 0.900 0.579
0.283 0.283 0.344
0.418 0.418 0.120
0.500 0.500 0.500
0.582 0.582 0.880
0.717 0.717 0.656
0.361 0.361 0.747
0.639 0.639 0.253
```